Nd2UOs2 PBE-GGA relaxed; energy of formation from the pure elements = -131 meV/atom; space group = C2/c (15); spin magnetization = 0.1634 μB per atom
1.0
5.768 0.030 0.845
2.560 5.169 0.845
-0.026 -0.016 8.050
Nd U Os
4 2 4
direct
0.476 0.226 0.150 Nd
0.774 0.524 0.350 Nd
0.524 0.774 0.850 Nd
0.226 0.476 0.650 Nd
0.127 0.873 0.250 U
0.873 0.127 0.750 U
0.747 0.996 0.508 Os
0.004 0.253 0.992 Os
0.253 0.004 0.492 Os
0.996 0.747 0.008 Os